# 1
Ta4AlW: relaxed, PBE-GGA.

extended XYZ file:
```
6
Lattice="2.201 1.270 7.230 -2.201 1.270 7.230 0.000 -2.541 7.230" Properties=species:S:1:pos:R:3 pbc="T T T"
Ta 0.000 0.000 2.681
Ta 0.000 0.000 8.142
Ta 0.000 0.000 13.547
Ta 0.000 0.000 19.008
Al 0.000 0.000 10.845
W 0.000 0.000 0.000
```

Space-group type = R-3m
ΔE_f = 3.5 eV per formula unit
Total magnetization = 0.000 μB/atom
Offset from the most stable computed form = 166 meV per atom
Crystal system = trigonal

---

# 2
TaAlW: relaxed, PBE-GGA.

extended XYZ file:
```
3
Lattice="-1.378 1.378 6.533 1.378 -1.378 6.533 1.378 1.378 -6.533" Properties=species:S:1:pos:R:3 pbc="T T T"
Ta 0.000 0.000 0.000
Al 0.000 0.000 4.406
W 0.000 0.000 8.888
```

Space-group type = I4mm
ΔE_f = 0.1 eV per formula unit
Total magnetization = 0.000 μB/atom
Offset from the most stable computed form = 133 meV per atom
Crystal system = tetragonal

---

# 3
TaAlW2: relaxed, PBE-GGA.

extended XYZ file:
```
4
Lattice="2.729 0.000 0.000 0.000 4.333 0.000 0.000 0.000 5.605" Properties=species:S:1:pos:R:3 pbc="T T T"
Ta 0.000 0.000 0.000
Al 1.365 2.167 4.232
W 0.000 0.000 2.840
W 1.365 2.167 1.455
```

Space-group type = Pmm2
ΔE_f = 0.5 eV per formula unit
Total magnetization = 0.000 μB/atom
Crystal system = orthorhombic

---

# 4
TaAlW: relaxed, PBE-GGA.

extended XYZ file:
```
3
Lattice="4.549 0.000 0.000 -2.275 3.940 0.000 0.000 0.000 2.784" Properties=species:S:1:pos:R:3 pbc="T T T"
Ta 0.000 0.000 0.000
Al 0.000 2.626 1.725
W 2.275 1.313 0.849
```

Space-group type = P3m1
ΔE_f = -0.2 eV per formula unit
Total magnetization = 0.000 μB/atom
Offset from the most stable computed form = 25 meV per atom
Crystal system = trigonal

---

# 5
Ta5AlW4: relaxed, PBE-GGA.

extended XYZ file:
```
10
Lattice="3.287 0.000 0.000 0.000 3.287 0.000 0.000 0.000 15.752" Properties=species:S:1:pos:R:3 pbc="T T T"
Ta 0.000 0.000 0.000
Ta 0.000 0.000 3.196
Ta 0.000 0.000 6.321
Ta 0.000 0.000 9.432
Ta 0.000 0.000 12.556
Al 1.644 1.644 7.876
W 1.644 1.644 1.607
W 1.644 1.644 4.842
W 1.644 1.644 10.910
W 1.644 1.644 14.145
```

Space-group type = P4/mmm
ΔE_f = -1.2 eV per formula unit
Total magnetization = 0.000 μB/atom
Crystal system = tetragonal

---

# 6
TaAlW2: relaxed, PBE-GGA.

extended XYZ file:
```
4
Lattice="-1.937 1.937 4.386 1.937 -1.937 4.386 1.937 1.937 -4.386" Properties=species:S:1:pos:R:3 pbc="T T T"
Ta 0.000 0.000 0.000
Al 0.000 0.000 4.386
W 1.937 0.000 2.193
W 0.000 1.937 2.193
```

Space-group type = I4/mmm
ΔE_f = 0.4 eV per formula unit
Total magnetization = 0.000 μB/atom
Crystal system = tetragonal

---

# 7
TaAlW2: relaxed, PBE-GGA.

extended XYZ file:
```
4
Lattice="-2.023 2.023 4.037 2.023 -2.023 4.037 2.023 2.023 -4.037" Properties=species:S:1:pos:R:3 pbc="T T T"
Ta 0.000 0.000 0.000
Al 0.000 2.023 2.018
W 2.023 0.000 2.018
W 0.000 0.000 4.037
```

Space-group type = I-4m2
ΔE_f = 0.5 eV per formula unit
Total magnetization = 0.000 μB/atom
Crystal system = tetragonal

---

# 8
Ta2Al2W: relaxed, PBE-GGA.

extended XYZ file:
```
10
Lattice="6.819 0.000 0.000 0.000 6.819 0.000 0.000 0.000 3.530" Properties=species:S:1:pos:R:3 pbc="T T T"
Ta 1.182 2.228 0.000
Ta 2.228 5.637 0.000
Ta 4.591 1.182 0.000
Ta 5.637 4.591 0.000
Al 0.875 4.285 1.765
Al 2.534 0.875 1.765
Al 4.285 5.944 1.765
Al 5.944 2.534 1.765
W 0.000 0.000 1.765
W 3.410 3.410 1.765
```

Space-group type = P4/mbm
ΔE_f = -0.5 eV per formula unit
Total magnetization = 0.000 μB/atom
Offset from the most stable computed form = 0 meV per atom
Crystal system = tetragonal